1.
The following is a PBE calculation of crystalline Sc2HSe2 at its relaxed geometry, from the Alexandria database.

Output
E   -5.925 eV/atom
Space group   C2/m, No. 12
Magnetic moment   0.0 μB per cell

a b c (Å): 6.272 6.272 7.647
angles (deg): 123.81 123.81 51.12
Positions (direct):
1 Sc 0.077 0.077 0.344
2 Sc 0.323 0.323 0.927
3 Sc 0.677 0.677 0.073
4 Sc 0.923 0.923 0.656
5 H 0.110 0.110 0.641
6 H 0.890 0.890 0.359
7 Se 0.178 0.178 0.090
8 Se 0.403 0.403 0.658
9 Se 0.597 0.597 0.342
10 Se 0.822 0.822 0.910

=====

2.
The following is a PBE calculation of crystalline CaLa2Br at its relaxed geometry, from the Alexandria database.

Output
E_form (uncorrected)   -0.93 eV/f.u.
E   -3.615 eV/atom
Space group   I4/mmm, No. 139
Magnetic moment   0.0 μB per cell

a b c (Å): 4.603 4.603 13.385
angles (deg): 90.00 90.00 90.00
Positions (direct):
1 Ca 0.000 0.000 0.000
2 Ca 0.500 0.500 0.500
3 La 0.000 0.500 0.250
4 La 0.000 0.500 0.750
5 La 0.500 0.000 0.250
6 La 0.500 0.000 0.750
7 Br 0.000 0.000 0.500
8 Br 0.500 0.500 0.000

=====

3.
The following is a PBE calculation of crystalline Bi4O4F3 at its relaxed geometry, from the Alexandria database.

Output
E_form (uncorrected)   -16.40 eV/f.u.
E   -5.216 eV/atom
Space group   Immm, No. 71
Magnetic moment   0.0 μB per cell

a b c (Å): 7.755 7.755 7.755
angles (deg): 154.75 107.42 78.24
Positions (direct):
1 Bi 0.191 0.191 0.000
2 Bi 0.298 0.500 0.798
3 Bi 0.702 0.500 0.202
4 Bi 0.809 0.809 0.000
5 O 0.020 0.357 0.663
6 O 0.305 0.643 0.663
7 O 0.695 0.357 0.337
8 O 0.980 0.643 0.337
9 F 0.000 0.000 0.000
10 F 0.363 0.863 0.500
11 F 0.637 0.137 0.500

=====

4.
The following is a PBE calculation of crystalline Na2TmUS4 at its relaxed geometry, from the Alexandria database.

Output
E_form (uncorrected)   -12.60 eV/f.u.
E   -5.938 eV/atom
Space group   P2/m, No. 10
Magnetic moment   3.0 μB per cell

a b c (Å): 6.856 3.946 7.096
angles (deg): 90.00 108.75 90.00
Positions (direct):
1 Na 0.000 0.000 0.000
2 Na 0.500 0.500 0.000
3 Tm 0.000 0.500 0.500
4 U 0.500 0.000 0.500
5 S 0.238 0.000 0.726
6 S 0.252 0.500 0.271
7 S 0.748 0.500 0.729
8 S 0.762 0.000 0.274

=====

5.
The following is a PBE calculation of crystalline Tb3Si4Ni2 at its relaxed geometry, from the Alexandria database.

Output
E_form (uncorrected)   -7.17 eV/f.u.
E   -6.035 eV/atom
Space group   C2/m, No. 12
Magnetic moment   0.0 μB per cell
E above lowest polymorph   3.7 kJ/mol of atoms

a b c (Å): 5.569 5.569 7.974
angles (deg): 105.22 105.22 43.17
Positions (direct):
1 Tb 0.000 0.000 0.000
2 Tb 0.377 0.377 0.308
3 Tb 0.623 0.623 0.692
4 Si 0.100 0.100 0.410
5 Si 0.282 0.282 0.927
6 Si 0.718 0.718 0.073
7 Si 0.900 0.900 0.590
8 Ni 0.318 0.318 0.651
9 Ni 0.682 0.682 0.349

=====

6.
The following is a PBE calculation of crystalline NdSmTc at its relaxed geometry, from the Alexandria database.

Output
Calculated formation energy   0.09 eV/atom
E   -6.531 eV/atom
Space group   I4mm, No. 107
Magnetic moment   0.0 μB per cell
E above lowest polymorph   0.0 kJ/mol of atoms

a b c (Å): 3.527 3.527 13.174
angles (deg): 90.00 90.00 90.00
Positions (direct):
1 Nd 0.000 0.000 0.000
2 Nd 0.500 0.500 0.500
3 Sm 0.000 0.000 0.255
4 Sm 0.500 0.500 0.755
5 Tc 0.000 0.000 0.630
6 Tc 0.500 0.500 0.130

=====

7.
The following is a PBE calculation of crystalline BeTcAu2 at its relaxed geometry, from the Alexandria database.

Output
Calculated formation energy   0.26 eV/atom
E   -4.898 eV/atom
Space group   Immm, No. 71
Magnetic moment   0.0 μB per cell

a b c (Å): 2.792 4.552 9.314
angles (deg): 90.00 90.00 90.00
Positions (direct):
1 Be 0.000 0.000 0.000
2 Be 0.500 0.500 0.500
3 Tc 0.000 0.000 0.500
4 Tc 0.500 0.500 0.000
5 Au 0.000 0.500 0.294
6 Au 0.000 0.500 0.706
7 Au 0.500 0.000 0.206
8 Au 0.500 0.000 0.794

=====

8.
The following is a PBE calculation of crystalline CaHg at its relaxed geometry, from the Alexandria database.

Output
Calculated formation energy   -0.42 eV/atom
E   -1.568 eV/atom
Space group   P-6m2, No. 187
Magnetic moment   0.0 μB per cell

a b c (Å): 4.086 4.086 4.259
angles (deg): 90.00 90.00 120.00
Positions (direct):
1 Ca 0.000 0.000 0.000
2 Hg 0.667 0.333 0.500

=====

- Which of these has the lowest E?
  NdSmTc